(1)
# Y2HfZn | Alexandria | PBE-GGA | relaxed
data_Y2HfZn
_space_group_name_H-M_alt 'P 1'
_space_group_IT_number 1
_cell_length_a 4.363
_cell_length_b 4.363
_cell_length_c 11.139
_cell_angle_alpha 78.71
_cell_angle_beta 78.71
_cell_angle_gamma 90.00
loop_
_space_group_symop_operation_xyz
'x,y,z'
loop_
_atom_site_label
_atom_site_fract_x
_atom_site_fract_y
_atom_site_fract_z
Y1 0.613 0.125 0.250
Y2 0.137 0.625 0.250
Y3 0.375 0.387 0.750
Y4 0.875 0.863 0.750
Zn1 0.500 0.500 0.000
Zn2 0.250 0.750 0.500
Hf1 0.000 0.000 0.000
Hf2 0.750 0.250 0.500
# E in eV per atom: -5.571

***

(2)
# LiIr3Os | Alexandria | PBE-GGA | relaxed
data_LiIr3Os
_space_group_name_H-M_alt 'P 1'
_space_group_IT_number 1
_cell_length_a 4.083
_cell_length_b 4.083
_cell_length_c 4.083
_cell_angle_alpha 90.00
_cell_angle_beta 90.00
_cell_angle_gamma 90.00
loop_
_space_group_symop_operation_xyz
'x,y,z'
loop_
_atom_site_label
_atom_site_fract_x
_atom_site_fract_y
_atom_site_fract_z
Ir1 0.000 0.500 0.000
Ir2 0.000 0.000 0.500
Ir3 0.500 0.000 0.000
Os1 0.500 0.500 0.500
Li1 0.000 0.000 0.000
# Energy above the most stable polymorph in this dataset in meV/atom: 1031.6

***

(3)
# CaZrW2 | Alexandria | PBE-GGA | relaxed
data_CaZrW2
_space_group_name_H-M_alt 'P 1'
_space_group_IT_number 1
_cell_length_a 2.803
_cell_length_b 4.599
_cell_length_c 6.359
_cell_angle_alpha 90.00
_cell_angle_beta 90.00
_cell_angle_gamma 90.00
loop_
_space_group_symop_operation_xyz
'x,y,z'
loop_
_atom_site_label
_atom_site_fract_x
_atom_site_fract_y
_atom_site_fract_z
Ca1 0.500 0.500 0.759
Zr1 0.000 0.000 0.470
W1 0.000 0.000 0.041
W2 0.500 0.500 0.230
# Energy above the most stable polymorph in this dataset in meV/atom: 336.9

***

(4)
# ScSiAu4 | Alexandria | PBE-GGA | relaxed
data_ScSiAu4
_space_group_name_H-M_alt 'P 1'
_space_group_IT_number 1
_cell_length_a 5.495
_cell_length_b 5.495
_cell_length_c 5.495
_cell_angle_alpha 60.00
_cell_angle_beta 60.00
_cell_angle_gamma 60.00
loop_
_space_group_symop_operation_xyz
'x,y,z'
loop_
_atom_site_label
_atom_site_fract_x
_atom_site_fract_y
_atom_site_fract_z
Sc1 0.750 0.750 0.750
Si1 0.000 0.000 0.000
Au1 0.875 0.375 0.375
Au2 0.375 0.375 0.875
Au3 0.375 0.875 0.375
Au4 0.375 0.375 0.375
# ΔE_f (raw) in meV/atom: -47

***

(5)
# KYRu2 | Alexandria | PBE-GGA | relaxed
data_KYRu2
_space_group_name_H-M_alt 'P 1'
_space_group_IT_number 1
_cell_length_a 5.390
_cell_length_b 5.390
_cell_length_c 7.187
_cell_angle_alpha 64.61
_cell_angle_beta 64.61
_cell_angle_gamma 44.86
loop_
_space_group_symop_operation_xyz
'x,y,z'
loop_
_atom_site_label
_atom_site_fract_x
_atom_site_fract_y
_atom_site_fract_z
K1 0.250 0.250 0.250
Ru1 0.991 0.991 0.833
Ru2 0.509 0.509 0.667
Y1 0.750 0.750 0.750
# Energy above the most stable polymorph in this dataset in meV/atom: 247.7

***

(6)
# BaPrRh | Alexandria | PBE-GGA | relaxed
data_BaPrRh
_space_group_name_H-M_alt 'P 1'
_space_group_IT_number 1
_cell_length_a 4.679
_cell_length_b 4.679
_cell_length_c 12.570
_cell_angle_alpha 90.00
_cell_angle_beta 90.00
_cell_angle_gamma 120.00
loop_
_space_group_symop_operation_xyz
'x,y,z'
loop_
_atom_site_label
_atom_site_fract_x
_atom_site_fract_y
_atom_site_fract_z
Rh1 0.667 0.333 0.163
Rh2 0.333 0.667 0.837
Ba1 0.000 0.000 0.316
Ba2 0.000 0.000 0.684
Pr1 0.667 0.333 0.910
Pr2 0.333 0.667 0.090
# Energy above the most stable polymorph in this dataset in meV/atom: 0.0

***

(7)
# Tl2Si2Sb | Alexandria | PBE-GGA | relaxed
data_Tl2Si2Sb
_space_group_name_H-M_alt 'P 1'
_space_group_IT_number 1
_cell_length_a 3.442
_cell_length_b 3.442
_cell_length_c 11.121
_cell_angle_alpha 81.10
_cell_angle_beta 81.10
_cell_angle_gamma 90.00
loop_
_space_group_symop_operation_xyz
'x,y,z'
loop_
_atom_site_label
_atom_site_fract_x
_atom_site_fract_y
_atom_site_fract_z
Sb1 0.000 0.000 0.000
Tl1 0.382 0.382 0.237
Tl2 0.618 0.618 0.763
Si1 0.750 0.250 0.500
Si2 0.250 0.750 0.500
# Energy above the most stable polymorph in this dataset in meV/atom: 0.0
# ΔE_f (raw) in meV/atom: 281

***

(8)
# YMgMo2 | Alexandria | PBE-GGA | relaxed
data_YMgMo2
_space_group_name_H-M_alt 'P 1'
_space_group_IT_number 1
_cell_length_a 9.775
_cell_length_b 9.775
_cell_length_c 9.775
_cell_angle_alpha 18.70
_cell_angle_beta 18.70
_cell_angle_gamma 18.70
loop_
_space_group_symop_operation_xyz
'x,y,z'
loop_
_atom_site_label
_atom_site_fract_x
_atom_site_fract_y
_atom_site_fract_z
Mg1 0.739 0.739 0.739
Mo1 0.990 0.990 0.990
Mo2 0.261 0.261 0.261
Y1 0.510 0.510 0.510
# E in eV per atom: -7.084

***

Number 1: volume 203.7 Å³/cell, magnetization 0.000 μB/f.u.. Number 2: volume 68.1 Å³/cell, magnetization 0.000 μB/f.u.. Number 3: volume 82.0 Å³/cell, magnetization 0.000 μB/f.u.. Number 4: volume 117.4 Å³/cell, magnetization 0.000 μB/f.u.. Number 5: volume 130.5 Å³/cell, magnetization 0.000 μB/f.u.. Number 6: volume 238.3 Å³/cell, magnetization 0.000 μB/f.u.. Number 7: volume 128.5 Å³/cell, magnetization 0.000 μB/f.u.. Number 8: volume 83.9 Å³/cell, magnetization 0.000 μB/f.u..